DFT (GGA-PBE) results for an optimized crystal structure of K3CaTe2O9.

Geometry as CIF:
```
data_K3CaTe2O9
_chemical_formula_sum 'K3 Ca1 Te2 O9'
_cell_length_a 5.8616
_cell_length_b 5.8616
_cell_length_c 7.3048
_cell_angle_alpha 90.00
_cell_angle_beta 90.00
_cell_angle_gamma 120.00
_symmetry_space_group_name_H-M 'P 1'
_symmetry_Int_Tables_number 1
loop_
_symmetry_equiv_pos_as_xyz
'x,y,z'
loop_
_atom_site_label
_atom_site_type_symbol
_atom_site_fract_x
_atom_site_fract_y
_atom_site_fract_z
_atom_site_occupancy
K1 K 0.3333 0.6667 0.6623 1
K2 K 0.0000 0.0000 0.0000 1
K3 K 0.6667 0.3333 0.3377 1
Ca1 Ca 0.0000 0.0000 0.5000 1
Te1 Te 0.3333 0.6667 0.1651 1
Te2 Te 0.6667 0.3333 0.8349 1
O1 O 0.8228 0.1772 0.6948 1
O2 O 0.8228 0.6456 0.6948 1
O3 O 0.3544 0.1772 0.6948 1
O4 O 0.6456 0.8228 0.3052 1
O5 O 0.1772 0.3544 0.3052 1
O6 O 0.1772 0.8228 0.3052 1
O7 O 0.5000 0.0000 0.0000 1
O8 O 0.0000 0.5000 0.0000 1
O9 O 0.5000 0.5000 0.0000 1
```

Symmetry: P-3m1 (164)
Formation energy from raw total energies (kJ/mol of atoms): -141.1